Sc2AsPb: optimized geometry, PBE.

a = 5.7927 Å, b = 5.7927 Å, c = 4.2210 Å
α = 85.45°, β = 85.45°, γ = 39.93°
Last column: nearest neighbours and their distance in Å.
Element x y z (fractional)
1 As 0.5107 0.5107 0.3733  5 Sc 2.80-2.91, 1 Pb 3.08
2 Pb 0.7339 0.7339 0.8734  7 Sc 2.89-3.21, 1 As 3.08
3 Sc 0.2540 0.2540 0.3717  1 As 2.80, 4 Pb 2.89-2.91
4 Sc 0.0014 0.0014 0.8815  4 As 2.88-2.91, 3 Pb 2.92-3.21

Computed properties:
Energy of formation   -641 meV/atom
Energy above the most stable polymorph in this dataset   236.6 meV per atom

MgFeCl2: optimized geometry, PBE.

a = 4.8135 Å, b = 4.8135 Å, c = 4.8135 Å
α = 60.00°, β = 60.00°, γ = 60.00°
Last column: nearest neighbours and their distance in Å.
Element x y z (fractional)
1 Mg 0.7500 0.7500 0.7500  4 Fe 2.95, 4 Cl 2.95
2 Cl 0.2500 0.2500 0.2500  4 Cl 2.95, 4 Fe 2.95
3 Cl 0.0000 0.0000 0.0000  4 Mg 2.95, 4 Cl 2.95
4 Fe 0.5000 0.5000 0.5000  4 Mg 2.95, 4 Cl 2.95

Computed properties:
Uncorrected formation energy   0.25 eV per atom
Energy above the most stable polymorph in this dataset   771.9 meV per atom

LaPm2TlC: optimized geometry, PBE.

a = 5.1779 Å, b = 5.1230 Å, c = 5.1230 Å
α = 90.00°, β = 90.00°, γ = 90.00°
Last column: nearest neighbours and their distance in Å.
Element x y z (fractional)
1 La 0.5000 0.0000 0.0000  2 C 2.59
2 C 0.0000 0.0000 0.0000  4 Pm 2.56, 2 La 2.59
3 Pm 0.0000 0.0000 0.5000  2 C 2.56
4 Pm 0.0000 0.5000 0.0000  2 C 2.56
5 Tl 0.5000 0.5000 0.5000  4 La 3.62, 8 Pm 3.64

Computed properties:
Energy of formation   -304 meV/atom

Tm3Al4Cd2: optimized geometry, PBE.

a = 4.6430 Å, b = 5.8121 Å, c = 8.7728 Å
α = 114.23°, β = 90.00°, γ = 113.54°
Last column: nearest neighbours and their distance in Å.
Element x y z (fractional)
1 Al 0.2658 0.5315 0.9370  2 Al 2.66, 1 Cd 2.72
2 Al 0.7342 0.4685 0.0630  2 Al 2.66, 1 Cd 2.72
3 Al 0.9542 0.9084 0.6169  1 Al 2.64, 2 Cd 2.71
4 Al 0.0458 0.0916 0.3831  1 Al 2.64, 2 Cd 2.71
5 Cd 0.6151 0.2301 0.2803  3 Al 2.71-2.72
6 Cd 0.3849 0.7699 0.7197  3 Al 2.71-2.72
7 Tm 0.3350 0.6701 0.3309  8 Al 3.12-3.31, 4 Cd 3.19-3.21, 2 Tm 3.44-3.45
8 Tm 0.0000 0.0000 0.0000  8 Al 3.12-3.27, 4 Cd 3.20, 2 Tm 3.45
9 Tm 0.6650 0.3299 0.6691  8 Al 3.12-3.31, 4 Cd 3.19-3.21, 2 Tm 3.44-3.45

Computed properties:
Energy of formation   -389 meV/atom

Ta3TiTc: optimized geometry, PBE.

a = 4.6118 Å, b = 4.6118 Å, c = 4.6118 Å
α = 90.00°, β = 90.00°, γ = 90.00°
Last column: nearest neighbours and their distance in Å.
Element x y z (fractional)
1 Ta 0.0000 0.5000 0.0000  2 Ti 2.31
2 Ta 0.0000 0.0000 0.5000  2 Ti 2.31
3 Ta 0.5000 0.0000 0.0000  2 Ti 2.31
4 Tc 0.5000 0.5000 0.5000  12 Ta 3.26
5 Ti 0.0000 0.0000 0.0000  6 Ta 2.31

Computed properties:
Energy of formation   1612 meV/atom
Energy above the most stable polymorph in this dataset   1810.5 meV per atom

Pa3Al11: optimized geometry, PBE.

a = 4.3235 Å, b = 8.2509 Å, c = 8.2509 Å
α = 74.54°, β = 74.81°, γ = 74.81°
Last column: nearest neighbours and their distance in Å.
Element x y z (fractional)
1 Al 0.5000 0.6943 0.3057  8 Al 2.63-2.91
2 Al 0.0000 0.5000 0.5000  8 Al 2.82-2.91
3 Al 0.1390 0.5846 0.1373  6 Al 2.62-2.82
4 Al 0.3431 0.0278 0.2860  5 Al 2.58-2.70
5 Al 0.5000 0.3057 0.6943  8 Al 2.63-2.91
6 Al 0.6569 0.7140 0.9722  5 Al 2.58-2.70
7 Al 0.8610 0.4154 0.8627  6 Al 2.62-2.82
8 Al 0.3431 0.2860 0.0278  5 Al 2.58-2.70
9 Al 0.8610 0.8627 0.4154  6 Al 2.62-2.82
10 Al 0.1390 0.1373 0.5846  6 Al 2.62-2.82
11 Al 0.6569 0.9722 0.7140  5 Al 2.58-2.70
12 Pa 0.3059 0.6941 0.6941  14 Al 3.09-3.45
13 Pa 0.0000 0.0000 0.0000  12 Al 3.18-3.26
14 Pa 0.6941 0.3059 0.3059  14 Al 3.09-3.45

Computed properties:
Energy of formation   -206 meV/atom

GaMoPt: optimized geometry, PBE.

a = 6.7785 Å, b = 2.9648 Å, c = 9.5370 Å
α = 90.00°, β = 101.90°, γ = 90.00°
Last column: nearest neighbours and their distance in Å.
Element x y z (fractional)
1 Pt 0.6142 0.5000 0.7452  5 Ga 2.64-2.66, 2 Mo 2.77
2 Pt 0.6142 0.0000 0.2452  5 Ga 2.64-2.66, 2 Mo 2.77
3 Pt 0.9413 0.0000 0.9565  4 Ga 2.61-2.68, 4 Mo 2.82-2.89
4 Pt 0.9413 0.5000 0.4565  4 Ga 2.61-2.68, 4 Mo 2.82-2.89
5 Ga 0.5475 0.0000 0.9627  4 Pt 2.64-2.68, 4 Mo 2.75-2.84
6 Ga 0.5475 0.5000 0.4627  4 Pt 2.64-2.68, 4 Mo 2.75-2.84
7 Ga 0.9027 0.5000 0.1750  5 Pt 2.61-2.65, 3 Mo 2.78-2.84
8 Ga 0.9027 0.0000 0.6750  5 Pt 2.61-2.65, 3 Mo 2.78-2.84
9 Mo 0.2889 0.5000 0.1036  3 Mo 2.51-2.78, 2 Pt 2.77
10 Mo 0.2889 0.0000 0.6036  3 Mo 2.51-2.78, 2 Pt 2.77
11 Mo 0.2169 0.0000 0.3344  3 Mo 2.51-2.78, 4 Ga 2.75-2.78
12 Mo 0.2169 0.5000 0.8344  3 Mo 2.51-2.78, 4 Ga 2.75-2.78

Computed properties:
Energy of formation   -270 meV/atom

TiTlHg2F8: optimized geometry, PBE.

a = 5.1029 Å, b = 5.1925 Å, c = 7.7862 Å
α = 79.72°, β = 77.15°, γ = 97.17°
Last column: nearest neighbours and their distance in Å.
Element x y z (fractional)
1 F 0.3843 0.7233 0.4673  2 Hg 2.30-2.41, 1 Tl 2.57
2 F 0.6157 0.2767 0.5327  2 Hg 2.30-2.41, 1 Tl 2.57
3 F 0.9360 0.2279 0.8024  1 Ti 1.88
4 F 0.2015 0.8273 0.8363  1 Ti 1.88
5 F 0.6793 0.7483 0.0137  1 Ti 1.93
6 F 0.0640 0.7721 0.1976  1 Ti 1.88
7 F 0.3207 0.2517 0.9863  1 Ti 1.93
8 F 0.7985 0.1727 0.1637  1 Ti 1.88
9 Ti 0.0000 0.0000 0.0000  6 F 1.88-1.93
10 Hg 0.5733 0.5762 0.7182  4 F 2.30-2.53
11 Hg 0.4267 0.4238 0.2818  4 F 2.30-2.53
12 Tl 0.0000 0.0000 0.5000  4 F 2.57-2.79

Computed properties:
Uncorrected formation energy   -2.19 eV per atom

Th4Si3RuRh12: optimized geometry, PBE.

a = 7.9012 Å, b = 7.9012 Å, c = 7.9012 Å
α = 109.47°, β = 109.47°, γ = 109.47°
Last column: nearest neighbours and their distance in Å.
Element x y z (fractional)
1 Rh 0.7366 0.7366 0.0000  1 Si 2.16, 1 Ru 2.40
2 Rh 0.7500 0.5000 0.2500  2 Si 2.28
3 Rh 0.2500 0.7500 0.5000  2 Si 2.28
4 Rh 0.2634 0.0000 0.2634  1 Si 2.16, 1 Ru 2.40
5 Rh 0.2500 0.5000 0.7500  2 Si 2.28
6 Rh 0.2634 0.2634 0.0000  1 Si 2.16, 1 Ru 2.40
7 Rh 0.7500 0.2500 0.5000  2 Si 2.28
8 Rh 0.0000 0.7366 0.7366  1 Si 2.16, 1 Ru 2.40
9 Rh 0.0000 0.2634 0.2634  1 Si 2.16, 1 Ru 2.40
10 Rh 0.5000 0.2500 0.7500  2 Si 2.28
11 Rh 0.5000 0.7500 0.2500  2 Si 2.28
12 Rh 0.7366 0.0000 0.7366  1 Si 2.16, 1 Ru 2.40
13 Th 0.5000 0.0000 0.0000  12 Rh 3.23
14 Th 0.5000 0.5000 0.5000  12 Rh 3.23
15 Th 0.0000 0.0000 0.5000  12 Rh 3.23
16 Th 0.0000 0.5000 0.0000  12 Rh 3.23
17 Si 0.5000 0.5000 0.0000  6 Rh 2.16-2.28
18 Si 0.0000 0.5000 0.5000  6 Rh 2.16-2.28
19 Si 0.5000 0.0000 0.5000  6 Rh 2.16-2.28
20 Ru 0.0000 0.0000 0.0000  6 Rh 2.40

Computed properties:
Uncorrected formation energy   -0.45 eV per atom

BaBCl2: optimized geometry, PBE.

a = 8.8644 Å, b = 8.8644 Å, c = 8.8644 Å
α = 27.71°, β = 27.71°, γ = 27.71°
Last column: nearest neighbours and their distance in Å.
Element x y z (fractional)
1 B 0.5000 0.5000 0.5000  6 Cl 2.79
2 Cl 0.1148 0.1148 0.1148  3 B 2.79, 1 Ba 2.93
3 Cl 0.8852 0.8852 0.8852  3 B 2.79, 1 Ba 2.93
4 Ba 0.0000 0.0000 0.0000  2 Cl 2.93

Computed properties:
Uncorrected formation energy   0.14 eV per atom
Energy above the most stable polymorph in this dataset   560.4 meV per atom

Cr2PtBr: optimized geometry, PBE.

a = 4.6913 Å, b = 4.6913 Å, c = 4.6913 Å
α = 60.00°, β = 60.00°, γ = 60.00°
Last column: nearest neighbours and their distance in Å.
Element x y z (fractional)
1 Br 0.5000 0.5000 0.5000  4 Cr 2.87, 4 Pt 2.87
2 Cr 0.2500 0.2500 0.2500  4 Cr 2.87, 4 Br 2.87
3 Cr 0.0000 0.0000 0.0000  4 Cr 2.87, 4 Pt 2.87
4 Pt 0.7500 0.7500 0.7500  4 Cr 2.87, 4 Br 2.87

Computed properties:
Uncorrected formation energy   0.79 eV per atom
Energy above the most stable polymorph in this dataset   644.1 meV per atom

CoW2Se: optimized geometry, PBE.

a = 4.9117 Å, b = 4.9117 Å, c = 4.9117 Å
α = 134.60°, β = 134.60°, γ = 66.14°
Last column: nearest neighbours and their distance in Å.
Element x y z (fractional)
1 Se 0.7500 0.2500 0.5000  8 W 2.68-2.80, 4 Co 2.80
2 Co 0.5000 0.5000 0.0000  8 W 2.68-2.80, 4 Se 2.80
3 W 0.0000 0.0000 0.0000  4 Co 2.68, 4 W 2.80, 4 Se 2.80
4 W 0.2500 0.7500 0.5000  4 Se 2.68, 4 W 2.80, 4 Co 2.80

Computed properties:
Uncorrected formation energy   0.66 eV per atom

Number 1: DOS at the Fermi energy 1.9 states/eV/f.u.. Number 2: DOS at the Fermi energy 7.7 states/eV/f.u.. Number 3: DOS at the Fermi energy 2.5 states/eV/f.u.. Number 4: DOS at the Fermi energy 5.0 states/eV/f.u.. Number 5: DOS at the Fermi energy 6.6 states/eV/f.u.. Number 6: DOS at the Fermi energy 16.1 states/eV/f.u.. Number 7: DOS at the Fermi energy 1.5 states/eV/f.u.. Number 8: DOS at the Fermi energy 3.5 states/eV/f.u.. Number 9: DOS at the Fermi energy 14.8 states/eV/f.u.. Number 10: DOS at the Fermi energy 0.9 states/eV/f.u.. Number 11: DOS at the Fermi energy 4.4 states/eV/f.u.. Number 12: DOS at the Fermi energy 5.9 states/eV/f.u..